[1]
PBE BaYAg2, relaxed; calculated density = 6.4 g/cm³; space group = Cm (8); energy of formation from the pure elements = -1.4 kcal/mol of atoms; density of states at the Fermi level = 2.46 states/eV/cell
1.0
5.805 -1.826 0.000
5.805 1.826 0.000
-1.470 0.000 5.418
Ba Y Ag
1 1 2
Direct
0.000 0.000 0.000
0.795 0.795 0.391
0.243 0.243 0.809
0.542 0.542 0.521

[2]
PBE AlTe2H, relaxed; calculated density = 5.8 g/cm³; uncorrected energy = -11.18 eV/f.u.; space group = R-3m (166); density of states at the Fermi level = 2.09 states/eV/cell
1.0
1.602 0.925 9.160
-1.602 0.925 9.160
0.000 -1.850 9.160
Al Te H
1 2 1
Direct
0.000 0.000 0.000
0.104 0.104 0.104
0.896 0.896 0.896
0.500 0.500 0.500

[3]
PBE BeInSeF2, relaxed; calculated density = 4.0 g/cm³; uncorrected formation energy = -0.718 eV per atom; space group = P4/mmm (123); density of states at the Fermi level = 3.00 states/eV/cell
1.0
4.040 0.000 0.000
0.000 4.040 0.000
0.000 0.000 6.159
Be In Se F
1 1 1 2
Direct
0.000 0.000 0.000
0.000 0.000 0.500
0.500 0.500 0.000
0.000 0.500 0.500
0.500 0.000 0.500

[4]
PBE Y3AlTl, relaxed; calculated density = 5.0 g/cm³; space group = Pm-3m (221); energy of formation from the pure elements = 3.1 kcal/mol of atoms; density of states at the Fermi level = 8.70 states/eV/cell
1.0
5.496 0.000 0.000
0.000 5.496 0.000
0.000 0.000 5.496
Y Al Tl
3 1 1
Direct
0.000 0.000 0.500
0.000 0.500 0.000
0.500 0.000 0.000
0.000 0.000 0.000
0.500 0.500 0.500

[5]
PBE NdDy4Pd4, relaxed; calculated density = 8.5 g/cm³; space group = P4_2/n (86); energy of formation from the pure elements = -15.2 kcal/mol of atoms; density of states at the Fermi level = 15.65 states/eV/cell
1.0
9.083 0.000 0.000
0.000 9.083 0.000
0.000 0.000 5.778
Nd Dy Pd
2 8 8
Direct
0.250 0.250 0.250
0.750 0.750 0.750
0.076 0.654 0.164
0.154 0.924 0.664
0.346 0.576 0.664
0.424 0.846 0.164
0.576 0.154 0.836
0.654 0.424 0.336
0.846 0.076 0.336
0.924 0.346 0.836
0.039 0.622 0.661
0.122 0.961 0.161
0.378 0.539 0.161
0.461 0.878 0.661
0.539 0.122 0.339
0.622 0.461 0.839
0.878 0.039 0.839
0.961 0.378 0.339

[6]
PBE Ba2Si3Au, relaxed; calculated density = 5.8 g/cm³; uncorrected formation energy = -0.560 eV per atom; space group = Fddd (70); density of states at the Fermi level = 6.16 states/eV/cell
1.0
0.000 7.410 10.060
4.274 0.000 10.060
4.274 7.410 0.000
Ba Si Au
8 12 4
Direct
0.001 0.001 0.249
0.249 0.249 0.001
0.252 0.252 0.498
0.498 0.498 0.252
0.502 0.502 0.748
0.748 0.748 0.502
0.751 0.751 0.999
0.999 0.999 0.751
0.053 0.700 0.535
0.212 0.535 0.700
0.213 0.537 0.213
0.300 0.947 0.788
0.463 0.787 0.463
0.465 0.788 0.947
0.535 0.212 0.053
0.537 0.213 0.537
0.700 0.053 0.212
0.787 0.463 0.787
0.788 0.465 0.300
0.947 0.300 0.465
0.042 0.708 0.042
0.292 0.958 0.292
0.708 0.042 0.708
0.958 0.292 0.958

[7]
PBE PrMo2H8, relaxed; calculated density = 6.0 g/cm³; uncorrected energy = -54.45 eV/f.u.; space group = Cm (8); density of states at the Fermi level = 3.41 states/eV/cell
1.0
2.491 -4.191 0.000
2.491 4.191 0.000
-0.003 0.000 4.546
Pr Mo H
1 2 8
Direct
0.000 0.000 0.000
0.293 0.635 0.488
0.635 0.293 0.488
0.229 0.975 0.552
0.237 0.620 0.874
0.421 0.421 0.236
0.562 0.959 0.249
0.620 0.237 0.874
0.637 0.637 0.671
0.959 0.562 0.249
0.975 0.229 0.552

[8]
PBE Sm4TlSe3, relaxed; calculated density = 7.9 g/cm³; uncorrected formation energy = -1.466 eV per atom; space group = I4/mmm (139); density of states at the Fermi level = 2.37 states/eV/cell
1.0
-3.015 3.015 6.017
3.015 -3.015 6.017
3.015 3.015 -6.017
Sm Tl Se
4 1 3
Direct
0.000 0.500 0.500
0.244 0.244 0.000
0.500 0.000 0.500
0.756 0.756 0.000
0.500 0.500 0.000
0.000 0.000 0.000
0.250 0.750 0.500
0.750 0.250 0.500